Entry 1:
The following is a DFT calculation (PBE) of a geometry-optimized NdPa2Co9 structure.

The structure belongs to space group R-3m (No. 166, hexagonal axes); the cell edges are 4.9060, 4.9060 and 24.6159 Å and the angles 90.00°, 90.00° and 120.00°. Symmetry generates all atoms from Nd at (0.0000, 0.0000, 0.0000), Pa at (0.0000, 0.0000, 0.1381), Co at (0.0000, 0.0000, 0.3330), Co at (0.0000, 0.0000, 0.5000) and Co at (0.0003, 0.5001, 0.0827).

The formation energy from the elements comes out at -0.20 eV per atom. For the total magnetic moment, the calculation gives 0.52 μB per atom.

=====

Entry 2:
The following is a DFT calculation (PBE) of a geometry-optimized Nd2PaCo9 structure.

The structure belongs to space group R-3m (No. 166, hexagonal axes); the cell edges are 4.9230, 4.9230 and 25.3774 Å and the angles 90.00°, 90.00° and 120.00°. Symmetry generates all atoms from Nd at (0.0000, 0.0000, 0.1391), Pa at (0.0000, 0.0000, 0.0000), Co at (0.0000, 0.0000, 0.3330), Co at (0.0000, 0.0000, 0.5000) and Co at (0.0017, 0.5008, 0.0786).

The formation energy from the elements comes out at -0.10 eV per atom. For the total magnetic moment, the calculation gives 0.68 μB per atom.

=====

Entry 3:
The following is a DFT calculation (PBE) of a geometry-optimized NdPaCo structure.

The structure belongs to space group P-6m2 (No. 187); the cell edges are 4.2268, 4.2268 and 4.7921 Å and the angles 90.00°, 90.00° and 120.00°. Symmetry generates all atoms from Nd at (0.0000, 0.0000, 0.0000), Pa at (0.6667, 0.3333, 0.5000) and Co at (0.3333, 0.6667, 0.5000).

The formation energy from the elements comes out at 0.03 eV per atom. The calculation puts the excess energy over the best structure of this formula in the dataset at 0.2112 eV/atom. For the total magnetic moment, the calculation gives 0.00 μB per atom.

=====

Entry 4:
The following is a DFT calculation (PBE) of a geometry-optimized NdPaCoTc structure.

The structure belongs to space group F-43m (No. 216); the cell edges are 6.887, 6.887 and 6.887 Å and the angles 90.00°, 90.00° and 90.00°. Symmetry generates all atoms from Nd at (0.000, 0.000, 0.000), Pa at (0.000, 0.000, 0.500), Co at (0.250, 0.250, 0.750) and Tc at (0.250, 0.250, 0.250).

The formation energy from the elements comes out at 0.05 eV per atom. For the total magnetic moment, the calculation gives 0.12 μB per atom.

=====

Entry 5:
The following is a DFT calculation (PBE) of a geometry-optimized Nd2TmPa2Co5 structure.

The structure belongs to space group P4/mbm (No. 127); the cell edges are 10.625, 10.625 and 3.467 Å and the angles 90.00°, 90.00° and 90.00°. Symmetry generates all atoms from Nd at (0.173, 0.327, 0.000), Tm at (0.000, 0.000, 0.000), Pa at (0.135, 0.635, 0.000), Co at (0.000, 0.500, 0.500) and Co at (0.044, 0.780, 0.500).

The formation energy from the elements comes out at -0.10 eV per atom. For the total magnetic moment, the calculation gives 0.00 μB per atom.

=====

Entry 6:
The following is a DFT calculation (PBE) of a geometry-optimized Nd8CoPb2 structure.

The structure belongs to space group C2/m (No. 12); the cell edges are 19.548, 4.907 and 7.293 Å and the angles 90.00°, 99.93° and 90.00°. Symmetry generates all atoms from Nd at (0.007, 0.000, 0.281), Nd at (0.093, 0.500, 0.001), Nd at (0.137, 0.500, 0.525), Nd at (0.216, 0.000, 0.835), Co at (0.000, 0.500, 0.500) and Pb at (0.182, 0.000, 0.276).

The formation energy from the elements comes out at -0.21 eV per atom. For the total magnetic moment, the calculation gives 0.00 μB per atom.

=====

Entry 7:
The following is a DFT calculation (PBE) of a geometry-optimized Nd12Co5Pb3 structure.

The structure belongs to space group Ia-3d (No. 230); the cell edges are 17.163, 17.163 and 17.163 Å and the angles 90.00°, 90.00° and 90.00°. Symmetry generates all atoms from Nd at (0.030, 0.054, 0.647), Co at (0.000, 0.000, 0.000), Co at (0.000, 0.250, 0.375) and Pb at (0.000, 0.250, 0.125).

The formation energy from the elements comes out at 0.03 eV per atom. For the total magnetic moment, the calculation gives 0.00 μB per atom.

=====

Entry 8:
The following is a DFT calculation (PBE) of a geometry-optimized Nd6Co2Pb structure.

The structure belongs to space group Immm (No. 71); the cell edges are 9.679, 10.181 and 10.327 Å and the angles 90.00°, 90.00° and 90.00°. Symmetry generates all atoms from Nd at (0.000, 0.208, 0.233), Nd at (0.184, 0.500, 0.177), Nd at (0.213, 0.316, 0.500), Co at (0.000, 0.349, 0.000), Co at (0.000, 0.500, 0.391), Pb at (0.000, 0.000, 0.000) and Pb at (0.000, 0.000, 0.500).

The formation energy from the elements comes out at -0.18 eV per atom. For the total magnetic moment, the calculation gives 0.00 μB per atom.